# KTaHg | Alexandria via LeMat-Bulk | PBE | relaxed
data_KTaHg
_chemical_formula_sum 'K4 Ta4 Hg4'
_cell_length_a 26.3464
_cell_length_b 4.3244
_cell_length_c 3.3104
_cell_angle_alpha 90.00
_cell_angle_beta 97.05
_cell_angle_gamma 90.00
_space_group_name_H-M_alt 'P 1'
_space_group_IT_number 1
_space_group_name_Hall 'P 1'
loop_
_atom_site_label
_atom_site_type_symbol
_atom_site_fract_x
_atom_site_fract_y
_atom_site_fract_z
K1 K 0.0000 0.0000 0.0000
K2 K 0.1519 0.5000 0.6602
K3 K 0.5000 0.5000 0.0000
K4 K 0.6519 0.0000 0.6602
Ta1 Ta 0.3161 0.5000 0.3205
Ta2 Ta 0.3298 0.0000 0.8338
Ta3 Ta 0.8161 0.0000 0.3205
Ta4 Ta 0.8298 0.5000 0.8338
Hg1 Hg 0.2323 0.0000 0.2387
Hg2 Hg 0.4208 0.0000 0.4227
Hg3 Hg 0.7323 0.5000 0.2387
Hg4 Hg 0.9208 0.5000 0.4227
# - final energy (eV per atom) = -4.01
# - calculated volume (Å³ per cell) = 374
# - DFT formation energy (kcal/mol of atoms) = 9.38
# - distance to the lowest polymorph of the same formula (meV/atom) = 119
# - crystal system = monoclinic